Record 1
VASP calculation (PBE) on a geometry-optimized LiTbThRh structure.

a = 5.036 Å, b = 5.036 Å, c = 5.036 Å
α = 60.00°, β = 60.00°, γ = 60.00°
Fractional coordinates of all 4 atoms:
Th1 0.250 0.250 0.250
Rh1 0.500 0.500 0.500
Tb1 0.750 0.750 0.750
Li1 0.000 0.000 0.000

Summary:
space-group type: F-43m, No. 216
calculated density: 9.2 g/cm³
formation energy: -336 meV/atom
DOS at the Fermi energy: 1.0269 states/eV per atom
V: 90 Å³/f.u.
M_tot: 0.00 μB per formula unit

***

Record 2
VASP calculation (PBE) on a geometry-optimized CeEr2Cd8 structure.

a = 5.335 Å, b = 6.328 Å, c = 8.975 Å
α = 110.78°, β = 107.45°, γ = 89.58°
Each line ends with the local moment (μB).
Fractional coordinates of all 11 atoms:
Er1 0.690 0.690 0.379  0.01
Cd1 0.703 0.203 0.406  0.00
Cd2 0.866 0.636 0.737  0.00
Cd3 0.871 0.101 0.737  0.00
Ce1 0.500 0.000 0.000  1.00
Cd4 0.134 0.364 0.263  0.00
Cd5 0.251 0.503 0.000  0.00
Er2 0.310 0.310 0.621  0.01
Cd6 0.749 0.497 0.000  0.00
Cd7 0.297 0.797 0.594  0.00
Cd8 0.129 0.899 0.263  0.00

Summary:
space-group type: C2/m, No. 12
calculated density: 8.5 g/cm³
formation energy: -212 meV/atom
DOS at the Fermi energy: 1.2169 states/eV per atom
V: 269 Å³/f.u.
M_tot: 1.23 μB per formula unit

***

Record 3
VASP calculation (PBE) on a geometry-optimized TaMn2Au structure.

a = 3.216 Å, b = 3.216 Å, c = 5.931 Å
α = 90.00°, β = 90.00°, γ = 90.00°
Each line ends with the local moment (μB).
Fractional coordinates of all 4 atoms:
Au1 0.500 0.500 0.750  0.04
Mn1 0.000 0.000 0.014  2.67
Ta1 0.500 0.500 0.250  -0.70
Mn2 0.000 0.000 0.486  2.67

Summary:
space-group type: P4/mmm, No. 123
calculated density: 13.2 g/cm³
ΔE to the lowest computed polymorph: 0 meV per atom
formation energy: 0 meV/atom
DOS at the Fermi energy: 0.7352 states/eV per atom
V: 61 Å³/f.u.
M_tot: 4.57 μB per formula unit

***

Record 4
VASP calculation (PBE) on a geometry-optimized SmBO4 structure.

a = 5.468 Å, b = 4.338 Å, c = 5.468 Å
α = 90.00°, β = 90.00°, γ = 90.00°
Each line ends with the local moment (μB).
Fractional coordinates of all 12 atoms:
O1 0.649 0.208 0.101  0.08
O2 0.149 0.208 0.899  0.08
O3 0.351 0.208 0.399  0.08
B1 0.500 0.000 0.250  -0.01
O4 0.851 0.792 0.899  0.08
O5 0.149 0.792 0.601  0.08
B2 0.000 0.000 0.750  -0.01
Sm1 0.500 0.500 0.750  0.00
O6 0.649 0.792 0.399  0.08
O7 0.351 0.792 0.101  0.08
Sm2 0.000 0.500 0.250  0.00
O8 0.851 0.208 0.601  0.08

Summary:
space-group type: P4/nbm, No. 125
calculated density: 5.8 g/cm³
calculated total energy: -7.4655 eV per atom
DOS at the Fermi energy: 0.4039 states/eV per atom
V: 65 Å³/f.u.
M_tot: 0.36 μB per formula unit